Density functional theory data (PBE-GGA) for a geometry-optimized HfBN3 structure.

Calculated values
DOS(E_F) in states/eV per cell: 3.0
Size of the total moment in Bohr magnetons per cell: 3.29
Crystal system: cubic
ΔE_f (raw) in eV/atom: 1.6849
Calculated total energy in eV per formula unit: -33.18

a = 4.191 Å, b = 4.191 Å, c = 4.191 Å
α = 90.00°, β = 90.00°, γ = 90.00°
Space group Pm-3m (No. 221)
Unique sites:
Hf 0.000 0.000 0.000
B 0.500 0.500 0.500
N 0.000 0.000 0.500

***

Density functional theory data (PBE-GGA) for a geometry-optimized Hf5BN4 structure.

Calculated values
DOS(E_F) in states/eV per cell: 5.5
Size of the total moment in Bohr magnetons per cell: 0.00
Crystal system: tetragonal
ΔE_f (raw) in eV/atom: -1.5787
Calculated total energy in eV per formula unit: -105.53

a = 7.284 Å, b = 7.284 Å, c = 4.574 Å
α = 90.00°, β = 90.00°, γ = 90.00°
Space group I4/m (No. 87)
Unique sites:
Hf 0.000 0.000 0.000
Hf 0.099 0.301 0.500
B 0.000 0.000 0.500
N 0.102 0.302 0.000

***

Density functional theory data (PBE-GGA) for a geometry-optimized Hf4BN2 structure.

Calculated values
DOS(E_F) in states/eV per cell: 9.7
Size of the total moment in Bohr magnetons per cell: 0.00
Crystal system: orthorhombic
ΔE to the lowest computed polymorph in eV/atom: 0.0000
ΔE_f (raw) in eV/atom: -1.2328
Calculated total energy in eV per formula unit: -71.77

a = 3.280 Å, b = 10.597 Å, c = 11.051 Å
α = 90.00°, β = 90.00°, γ = 90.00°
Space group Cmcm (No. 63)
Unique sites:
Hf 0.000 0.000 0.000
Hf 0.000 0.272 0.117
Hf 0.000 0.444 0.750
B 0.000 0.109 0.750
N 0.000 0.365 0.563

***

Density functional theory data (PBE-GGA) for a geometry-optimized Hf6B2N structure.

Calculated values
DOS(E_F) in states/eV per cell: 9.3
Size of the total moment in Bohr magnetons per cell: 0.00
Crystal system: tetragonal
ΔE_f (raw) in eV/atom: -0.6424
Calculated total energy in eV per formula unit: -87.18

a = 5.478 Å, b = 5.478 Å, c = 10.299 Å
α = 90.00°, β = 90.00°, γ = 90.00°
Space group P4_2/mnm (No. 136)
Unique sites:
Hf 0.201 0.201 0.159
Hf 0.204 0.204 0.500
B 0.000 0.000 0.329
N 0.000 0.000 0.000

***

Density functional theory data (PBE-GGA) for a geometry-optimized Hf8BN2 structure.

Calculated values
DOS(E_F) in states/eV per cell: 13.9
Size of the total moment in Bohr magnetons per cell: 0.00
Crystal system: monoclinic
ΔE_f (raw) in eV/atom: -0.5151
Calculated total energy in eV per formula unit: -108.62

a = 11.905 Å, b = 6.535 Å, c = 5.361 Å
α = 90.00°, β = 90.79°, γ = 90.00°
Space group C2/m (No. 12)
Unique sites:
Hf 0.078 0.248 0.246
Hf 0.152 0.500 0.753
Hf 0.161 0.000 0.762
B 0.000 0.000 0.500
N 0.185 0.000 0.152

***

Density functional theory data (PBE-GGA) for a geometry-optimized HfB3N3 structure.

Calculated values
DOS(E_F) in states/eV per cell: 6.3
Size of the total moment in Bohr magnetons per cell: 0.00
Crystal system: cubic
ΔE_f (raw) in eV/atom: 0.5121
Calculated total energy in eV per formula unit: -51.38

a = 4.754 Å, b = 4.754 Å, c = 4.754 Å
α = 90.00°, β = 90.00°, γ = 90.00°
Space group Pm-3n (No. 223)
Unique sites:
Hf 0.000 0.000 0.000
B 0.000 0.250 0.500
N 0.000 0.500 0.250

***

Density functional theory data (PBE-GGA) for a geometry-optimized Hf8B2N3 structure.

Calculated values
DOS(E_F) in states/eV per cell: 16.0
Size of the total moment in Bohr magnetons per cell: 0.00
Crystal system: monoclinic
ΔE_f (raw) in eV/atom: -0.8300
Calculated total energy in eV per formula unit: -128.75

a = 11.515 Å, b = 6.422 Å, c = 5.652 Å
α = 90.00°, β = 103.79°, γ = 90.00°
Space group C2/m (No. 12)
Unique sites:
Hf 0.104 0.000 0.391
Hf 0.113 0.249 0.889
Hf 0.115 0.500 0.396
B 0.248 0.000 0.164
N 0.000 0.265 0.500
N 0.000 0.500 0.000

***

Density functional theory data (PBE-GGA) for a geometry-optimized HfBN3 structure.

Calculated values
DOS(E_F) in states/eV per cell: 2.4
Size of the total moment in Bohr magnetons per cell: 0.00
Crystal system: cubic
ΔE_f (raw) in eV/atom: 0.1832
Calculated total energy in eV per formula unit: -40.69

a = 3.408 Å, b = 3.408 Å, c = 3.408 Å
α = 90.00°, β = 90.00°, γ = 90.00°
Space group Pm-3m (No. 221)
Unique sites:
Hf 0.000 0.000 0.000
B 0.500 0.500 0.500
N 0.000 0.500 0.500

***

Density functional theory data (PBE-GGA) for a geometry-optimized Hf4BN2 structure.

Calculated values
DOS(E_F) in states/eV per cell: 10.2
Size of the total moment in Bohr magnetons per cell: 0.00
Crystal system: tetragonal
ΔE to the lowest computed polymorph in eV/atom: 0.9820
ΔE_f (raw) in eV/atom: -0.2508
Calculated total energy in eV per formula unit: -64.90

a = 4.425 Å, b = 4.425 Å, c = 11.571 Å
α = 90.00°, β = 90.00°, γ = 90.00°
Space group I4/mmm (No. 139)
Unique sites:
Hf 0.000 0.000 0.230
Hf 0.000 0.500 0.000
B 0.000 0.000 0.000
N 0.000 0.000 0.398

***

Density functional theory data (PBE-GGA) for a geometry-optimized HfB3N structure.

Calculated values
DOS(E_F) in states/eV per cell: 3.9
Size of the total moment in Bohr magnetons per cell: 1.18
Crystal system: cubic
ΔE to the lowest computed polymorph in eV/atom: 1.6896
ΔE_f (raw) in eV/atom: 2.9507
Calculated total energy in eV per formula unit: -23.56

a = 4.558 Å, b = 4.558 Å, c = 4.558 Å
α = 90.00°, β = 90.00°, γ = 90.00°
Space group Pm-3m (No. 221)
Unique sites:
Hf 0.000 0.000 0.000
B 0.000 0.000 0.500
N 0.500 0.500 0.500

***

Density functional theory data (PBE-GGA) for a geometry-optimized Nd3HfB2N6 structure.

Calculated values
DOS(E_F) in states/eV per cell: 2.4
Size of the total moment in Bohr magnetons per cell: 0.00
Crystal system: trigonal
ΔE_f (raw) in eV/atom: -1.2248
Calculated total energy in eV per formula unit: -102.26

a = 5.5025 Å, b = 5.5025 Å, c = 6.3600 Å
α = 90.00°, β = 90.00°, γ = 120.00°
Space group P-3m1 (No. 164)
Unique sites:
Nd 0.0000 0.0000 0.0000
Nd 0.3333 0.6667 0.6617
Hf 0.0000 0.0000 0.5000
B 0.3333 0.6667 0.2585
N 0.1813 0.3626 0.2936

***

Density functional theory data (PBE-GGA) for a geometry-optimized Pr3HfB2N6 structure.

Calculated values
DOS(E_F) in states/eV per cell: 2.4
Size of the total moment in Bohr magnetons per cell: 0.00
Crystal system: trigonal
ΔE_f (raw) in eV/atom: -1.2135
Calculated total energy in eV per formula unit: -102.16

a = 5.5157 Å, b = 5.5157 Å, c = 6.4334 Å
α = 90.00°, β = 90.00°, γ = 120.00°
Space group P-3m1 (No. 164)
Unique sites:
Pr 0.0000 0.0000 0.0000
Pr 0.3333 0.6667 0.6643
Hf 0.0000 0.0000 0.5000
B 0.3333 0.6667 0.2621
N 0.1813 0.3627 0.2956

***

Density functional theory data (PBE-GGA) for a geometry-optimized HfB2RuN structure.

Calculated values
DOS(E_F) in states/eV per cell: 3.4
Size of the total moment in Bohr magnetons per cell: 0.00
Crystal system: tetragonal
ΔE_f (raw) in eV/atom: 0.7059
Calculated total energy in eV per formula unit: -37.38

a = 3.669 Å, b = 3.669 Å, c = 4.141 Å
α = 90.00°, β = 90.00°, γ = 90.00°
Space group P4/mmm (No. 123)
Unique sites:
Hf 0.000 0.000 0.000
B 0.000 0.500 0.500
Ru 0.500 0.500 0.000
N 0.000 0.000 0.500

***

Density functional theory data (PBE-GGA) for a geometry-optimized HfBS2N structure.

Calculated values
DOS(E_F) in states/eV per cell: 2.2
Size of the total moment in Bohr magnetons per cell: 1.87
Crystal system: tetragonal
ΔE to the lowest computed polymorph in eV/atom: 0.7574
ΔE_f (raw) in eV/atom: 0.7380
Calculated total energy in eV per formula unit: -29.52

a = 4.995 Å, b = 4.995 Å, c = 4.159 Å
α = 90.00°, β = 90.00°, γ = 90.00°
Space group P4/mmm (No. 123)
Unique sites:
Hf 0.000 0.000 0.000
B 0.500 0.500 0.500
S 0.000 0.500 0.000
N 0.000 0.000 0.500

***

Density functional theory data (PBE-GGA) for a geometry-optimized HfBS2N structure.

Calculated values
DOS(E_F) in states/eV per cell: 2.9
Size of the total moment in Bohr magnetons per cell: 0.00
Crystal system: tetragonal
ΔE to the lowest computed polymorph in eV/atom: 0.0000
ΔE_f (raw) in eV/atom: -0.0194
Calculated total energy in eV per formula unit: -33.31

a = 4.880 Å, b = 4.880 Å, c = 2.814 Å
α = 90.00°, β = 90.00°, γ = 90.00°
Space group P4/mmm (No. 123)
Unique sites:
Hf 0.000 0.000 0.000
B 0.500 0.500 0.500
S 0.000 0.500 0.500
N 0.500 0.500 0.000

***

Density functional theory data (PBE-GGA) for a geometry-optimized HfBSN2 structure.

Calculated values
DOS(E_F) in states/eV per cell: 1.4
Size of the total moment in Bohr magnetons per cell: 0.00
Crystal system: tetragonal
ΔE to the lowest computed polymorph in eV/atom: 0.0000
ΔE_f (raw) in eV/atom: 0.4707
Calculated total energy in eV per formula unit: -35.06

a = 3.506 Å, b = 3.506 Å, c = 4.269 Å
α = 90.00°, β = 90.00°, γ = 90.00°
Space group P4/mmm (No. 123)
Unique sites:
Hf 0.000 0.000 0.000
B 0.500 0.500 0.500
S 0.500 0.500 0.000
N 0.000 0.500 0.500

***

Density functional theory data (PBE-GGA) for a geometry-optimized HfBSN2 structure.

Calculated values
DOS(E_F) in states/eV per cell: 2.9
Size of the total moment in Bohr magnetons per cell: 2.26
Crystal system: tetragonal
ΔE to the lowest computed polymorph in eV/atom: 0.7024
ΔE_f (raw) in eV/atom: 1.1731
Calculated total energy in eV per formula unit: -31.54

a = 4.151 Å, b = 4.151 Å, c = 5.135 Å
α = 90.00°, β = 90.00°, γ = 90.00°
Space group P4/mmm (No. 123)
Unique sites:
Hf 0.000 0.000 0.000
B 0.500 0.500 0.500
S 0.000 0.000 0.500
N 0.000 0.500 0.000

***

Density functional theory data (PBE-GGA) for a geometry-optimized HfBS2N structure.

Calculated values
DOS(E_F) in states/eV per cell: 2.1
Size of the total moment in Bohr magnetons per cell: 2.88
Crystal system: tetragonal
ΔE to the lowest computed polymorph in eV/atom: 1.2710
ΔE_f (raw) in eV/atom: 1.2517
Calculated total energy in eV per formula unit: -26.95

a = 4.906 Å, b = 4.906 Å, c = 4.792 Å
α = 90.00°, β = 90.00°, γ = 90.00°
Space group P4/mmm (No. 123)
Unique sites:
Hf 0.000 0.000 0.000
B 0.000 0.000 0.500
S 0.000 0.500 0.000
N 0.500 0.500 0.500

***

Density functional theory data (PBE-GGA) for a geometry-optimized HfBSe2N structure.

Calculated values
DOS(E_F) in states/eV per cell: 3.1
Size of the total moment in Bohr magnetons per cell: 0.00
Crystal system: tetragonal
ΔE to the lowest computed polymorph in eV/atom: 0.0000
ΔE_f (raw) in eV/atom: -0.0170
Calculated total energy in eV per formula unit: -32.01

a = 5.486 Å, b = 5.486 Å, c = 2.723 Å
α = 90.00°, β = 90.00°, γ = 90.00°
Space group P4/mmm (No. 123)
Unique sites:
Hf 0.000 0.000 0.000
B 0.500 0.500 0.500
Se 0.000 0.500 0.500
N 0.500 0.500 0.000

***

Density functional theory data (PBE-GGA) for a geometry-optimized HfBSe2N structure.

Calculated values
DOS(E_F) in states/eV per cell: 2.4
Size of the total moment in Bohr magnetons per cell: 1.62
Crystal system: tetragonal
ΔE to the lowest computed polymorph in eV/atom: 0.7826
ΔE_f (raw) in eV/atom: 0.7656
Calculated total energy in eV per formula unit: -28.10

a = 5.241 Å, b = 5.241 Å, c = 4.114 Å
α = 90.00°, β = 90.00°, γ = 90.00°
Space group P4/mmm (No. 123)
Unique sites:
Hf 0.000 0.000 0.000
B 0.500 0.500 0.500
Se 0.000 0.500 0.000
N 0.000 0.000 0.500

***

Density functional theory data (PBE-GGA) for a geometry-optimized HfSn2BN structure.

Calculated values
DOS(E_F) in states/eV per cell: 2.8
Size of the total moment in Bohr magnetons per cell: 0.00
Crystal system: tetragonal
ΔE_f (raw) in eV/atom: 0.1570
Calculated total energy in eV per formula unit: -32.18

a = 5.703 Å, b = 5.703 Å, c = 2.807 Å
α = 90.00°, β = 90.00°, γ = 90.00°
Space group P4/mmm (No. 123)
Unique sites:
Hf 0.000 0.000 0.000
Sn 0.000 0.500 0.500
B 0.500 0.500 0.000
N 0.500 0.500 0.500

***

Density functional theory data (PBE-GGA) for a geometry-optimized NaHfB structure.

Calculated values
ΔH_f (0 K) in eV/atom: 0.2409
DOS(E_F) in states/eV per cell: 7.2
Size of the total moment in Bohr magnetons per cell: 0.00
Crystal system: monoclinic
ΔE to the lowest computed polymorph in eV/atom: 0.5534
Calculated total energy in eV per formula unit: -17.23

a = 5.633 Å, b = 7.589 Å, c = 5.459 Å
α = 90.00°, β = 93.12°, γ = 90.00°
Space group C2/m (No. 12)
Unique sites:
Na 0.237 0.000 0.490
Hf 0.000 0.295 0.000
B 0.152 0.000 0.996

***

Density functional theory data (PBE-GGA) for a geometry-optimized NaHfB structure.

Calculated values
ΔH_f (0 K) in eV/atom: 0.1337
DOS(E_F) in states/eV per cell: 4.1
Size of the total moment in Bohr magnetons per cell: 0.00
Crystal system: monoclinic
ΔE to the lowest computed polymorph in eV/atom: 0.4463
Calculated total energy in eV per formula unit: -17.55

a = 5.127 Å, b = 3.130 Å, c = 7.729 Å
α = 90.00°, β = 93.69°, γ = 90.00°
Space group Pm (No. 6)
Unique sites:
Na 0.000 0.000 0.000
Na 0.473 0.500 0.767
Hf 0.566 0.500 0.310
Hf 0.947 0.000 0.538
B 0.101 0.500 0.335
B 0.221 0.000 0.305

***

Density functional theory data (PBE-GGA) for a geometry-optimized NaHfB structure.

Calculated values
ΔH_f (0 K) in eV/atom: 0.1114
DOS(E_F) in states/eV per cell: 7.4
Size of the total moment in Bohr magnetons per cell: 0.00
Crystal system: monoclinic
ΔE to the lowest computed polymorph in eV/atom: 0.4240
Calculated total energy in eV per formula unit: -17.62

a = 13.689 Å, b = 3.108 Å, c = 5.570 Å
α = 90.00°, β = 98.24°, γ = 90.00°
Space group C2/m (No. 12)
Unique sites:
Na 0.067 0.000 0.277
Hf 0.180 0.500 0.824
B 0.245 0.000 0.552

***

Density functional theory data (PBE-GGA) for a geometry-optimized NaHfB structure.

Calculated values
ΔH_f (0 K) in eV/atom: 0.0721
DOS(E_F) in states/eV per cell: 6.6
Size of the total moment in Bohr magnetons per cell: 0.00
Crystal system: monoclinic
ΔE to the lowest computed polymorph in eV/atom: 0.3847
Calculated total energy in eV per formula unit: -17.73

a = 8.621 Å, b = 3.124 Å, c = 10.086 Å
α = 90.00°, β = 112.89°, γ = 90.00°
Space group Cm (No. 8)
Unique sites:
Na 0.000 0.000 0.000
Na 0.122 0.500 0.742
Hf 0.222 0.000 0.447
Hf 0.344 0.500 0.246
B 0.012 0.500 0.466
B 0.456 0.500 0.497